This record from Alexandria describes crystalline KRbCd at its relaxed geometry. The functional is PBE-GGA.

Properties
The total energy is -0.96 eV/atom. The value obtained for the energy of formation is 0.740 kcal/mol of atoms. The theoretical density comes out at 2.3 g cm⁻³. For the offset from the most stable computed form, the calculation gives 76.3 meV per atom. The calculation puts the density of states at the Fermi level at 1.3 states/eV/f.u.

Unit cell a=8.8574 b=8.8574 c=8.8574 alpha=90.00 beta=90.00 gamma=90.00
Space group F-43m (No. 216)
Symmetry-distinct sites (fractional):
K 0.0000 0.0000 0.0000
Rb 0.0000 0.0000 0.5000
Cd 0.2500 0.2500 0.2500


This record from Alexandria describes crystalline AcDySi2 at its relaxed geometry. The functional is PBE-GGA.

Properties
The uncorrected formation energy is -0.58 eV/atom. The total energy is -5.47 eV/atom. The theoretical density comes out at 7.2 g cm⁻³. For the offset from the most stable computed form, the calculation gives 0.0 meV per atom. The calculation puts the density of states at the Fermi level at 3.7 states/eV/f.u.

Unit cell a=8.7092 b=4.0235 c=11.6974 alpha=90.00 beta=90.00 gamma=90.00
Space group Pnma (No. 62)
Symmetry-distinct sites (fractional):
Ac 0.1317 0.2500 0.1320
Dy 0.0010 0.7500 0.3857
Si 0.1694 0.2500 0.8254
Si 0.2410 0.2500 0.4348


This record from Alexandria describes crystalline Sc7Cd2Cu2 at its relaxed geometry. The functional is PBE-GGA.

Properties
The total energy is -4.90 eV/atom. The value obtained for the energy of formation is 0.912 kcal/mol of atoms. The theoretical density comes out at 4.3 g cm⁻³. The calculation puts the density of states at the Fermi level at 12.6 states/eV/f.u.

Unit cell a=7.4403 b=10.4461 c=6.6566 alpha=90.00 beta=90.00 gamma=90.00
Space group Cmmm (No. 65)
Symmetry-distinct sites (fractional):
Sc 0.0000 0.0000 0.0000
Sc 0.0000 0.5000 0.2412
Sc 0.2500 0.2500 0.2567
Cd 0.1809 0.0000 0.5000
Cu 0.0000 0.2955 0.0000


This record from Alexandria describes crystalline RbSbP2 at its relaxed geometry. The functional is PBE-GGA.

Properties
The uncorrected formation energy is 0.00 eV/atom. The total energy is -3.98 eV/atom. The theoretical density comes out at 3.5 g cm⁻³. The calculation puts the density of states at the Fermi level at 0.0 states/eV/f.u.

Unit cell a=7.6347 b=7.6347 c=8.7860 alpha=90.00 beta=90.00 gamma=90.00
Space group I-42d (No. 122)
Symmetry-distinct sites (fractional):
Rb 0.0000 0.0000 0.0000
Sb 0.0000 0.0000 0.5000
P 0.1608 0.7500 0.6250


This record from Alexandria describes crystalline BeBr2Cl at its relaxed geometry. The functional is PBE-GGA.

Properties
The uncorrected formation energy is 0.47 eV/atom. The total energy is -1.76 eV/atom. The theoretical density comes out at 3.1 g cm⁻³. For the offset from the most stable computed form, the calculation gives 1161.1 meV per atom. The calculation puts the density of states at the Fermi level at 1.4 states/eV/f.u.

Unit cell a=3.8834 b=3.8834 c=7.2280 alpha=90.00 beta=90.00 gamma=90.00
Space group P4/mmm (No. 123)
Symmetry-distinct sites (fractional):
Be 0.0000 0.0000 0.0000
Br 0.0000 0.5000 0.5000
Cl 0.5000 0.5000 0.0000


This record from Alexandria describes crystalline Y2CoSiC at its relaxed geometry. The functional is PBE-GGA.

Properties
The uncorrected formation energy is -0.38 eV/atom. The total energy is -7.32 eV/atom. The theoretical density comes out at 5.1 g cm⁻³. The calculation puts the density of states at the Fermi level at 3.3 states/eV/f.u.

Unit cell a=4.9605 b=4.9605 c=3.6566 alpha=90.00 beta=90.00 gamma=90.00
Space group P4/mmm (No. 123)
Symmetry-distinct sites (fractional):
Y 0.0000 0.5000 0.0000
Co 0.0000 0.0000 0.5000
Si 0.5000 0.5000 0.5000
C 0.0000 0.0000 0.0000


This record from Alexandria describes crystalline Pm2TmTh2 at its relaxed geometry. The functional is PBE-GGA.

Properties
The total energy is -5.73 eV/atom. The value obtained for the energy of formation is 0.842 kcal/mol of atoms. The theoretical density comes out at 9.3 g cm⁻³. For the offset from the most stable computed form, the calculation gives 0.0 meV per atom. The calculation puts the density of states at the Fermi level at 7.7 states/eV/f.u.

Unit cell a=3.5927 b=3.5927 c=25.4136 alpha=90.00 beta=90.00 gamma=90.00
Space group I4/mmm (No. 139)
Symmetry-distinct sites (fractional):
Pm 0.0000 0.0000 0.1014
Tm 0.0000 0.0000 0.5000
Th 0.0000 0.0000 0.2980


This record from Alexandria describes crystalline NiOsBr2 at its relaxed geometry. The functional is PBE-GGA.

Properties
The uncorrected formation energy is 0.76 eV/atom. The total energy is -4.33 eV/atom. The theoretical density comes out at 7.8 g cm⁻³. For the offset from the most stable computed form, the calculation gives 308.7 meV per atom. The calculation puts the density of states at the Fermi level at 5.2 states/eV/f.u.

Unit cell a=3.0350 b=3.8831 c=7.3759 alpha=90.00 beta=90.00 gamma=90.00
Space group Pmm2 (No. 25)
Symmetry-distinct sites (fractional):
Ni 0.0000 0.0000 0.0000
Os 0.5000 0.5000 0.0792
Br 0.0000 0.0000 0.3114
Br 0.5000 0.5000 0.7487


Look up the total energy of the fifth one.
-1.76 eV/atom


total energy of number 8 (NiOsBr2)?
-4.33 eV/atom


Copy entry 2 word for word.
This record from Alexandria describes crystalline AcDySi2 at its relaxed geometry. The functional is PBE-GGA.

Properties
The uncorrected formation energy is -0.58 eV/atom. The total energy is -5.47 eV/atom. The theoretical density comes out at 7.2 g cm⁻³. For the offset from the most stable computed form, the calculation gives 0.0 meV per atom. The calculation puts the density of states at the Fermi level at 3.7 states/eV/f.u.

Unit cell a=8.7092 b=4.0235 c=11.6974 alpha=90.00 beta=90.00 gamma=90.00
Space group Pnma (No. 62)
Symmetry-distinct sites (fractional):
Ac 0.1317 0.2500 0.1320
Dy 0.0010 0.7500 0.3857
Si 0.1694 0.2500 0.8254
Si 0.2410 0.2500 0.4348


Among the records above, which one has the highest theoretical density?
Pm2TmTh2